A plane-wave DFT calculation with GGA-PBE was carried out for an optimized crystal structure of YSc2Mo.

Unit cell a=10.045 b=10.045 c=10.045 alpha=19.05 beta=19.05 gamma=19.05
Sites, in units of the cell vectors:
1 Sc 0.016 0.016 0.016
2 Sc 0.484 0.484 0.484
3 Y 0.250 0.250 0.250
4 Mo 0.750 0.750 0.750

Energy above the lowest structure with this stoichiometry ... 47 kJ/mol of formula units
VASP energy ... -28.89 eV for the cell shown
ΔE_f ... 266 meV/atom